No. 1
CaMg2Cd2Sn2 | PBE | optimized geometry

Calculated values
* formation energy: -0.23 eV per atom
* space-group type: R-3m, No. 166
* mass density: 5.19 g/cm³

Unit cell a=4.945 b=4.945 c=8.799 alpha=73.68 beta=73.68 gamma=60.00
Element x y z (fractional)
1 Ca 0.000 0.000 0.000
2 Mg 0.140 0.140 0.581
3 Mg 0.860 0.860 0.419
4 Cd 0.560 0.560 0.319
5 Cd 0.440 0.440 0.681
6 Sn 0.738 0.738 0.786
7 Sn 0.262 0.262 0.214

No. 2
Sr2CaMg3Cd12 | PBE | optimized geometry

Calculated values
* formation energy: -0.07 eV per atom
* space-group type: R-3m, No. 166
* mass density: 5.57 g/cm³

Unit cell a=7.892 b=7.892 c=7.892 alpha=86.29 beta=86.29 gamma=86.29
Element x y z (fractional)
1 Sr 0.703 0.703 0.703
2 Sr 0.297 0.297 0.297
3 Ca 0.000 0.000 0.000
4 Mg 0.500 0.000 0.000
5 Mg 0.000 0.500 0.000
6 Mg 0.000 0.000 0.500
7 Cd 0.410 0.410 0.879
8 Cd 0.798 0.798 0.291
9 Cd 0.291 0.798 0.798
10 Cd 0.879 0.410 0.410
11 Cd 0.798 0.291 0.798
12 Cd 0.410 0.879 0.410
13 Cd 0.590 0.590 0.121
14 Cd 0.202 0.202 0.709
15 Cd 0.709 0.202 0.202
16 Cd 0.121 0.590 0.590
17 Cd 0.202 0.709 0.202
18 Cd 0.590 0.121 0.590

The lowest mass density belongs to which entry? CaMg2Cd2Sn2